VASP calculation (PBE) on an optimized crystal structure of CSe2Cl.

Crystal system = cubic
Relative energy among the computed polymorphs = 1.3084 eV per atom
Formation energy from raw total energies = 1.8946 eV/atom
Space-group type = Fm-3m, No. 225

abc: 6.461 6.461 6.461
angles: 90.00 90.00 90.00
Positions (direct):
C  0.000  0.000  0.000
C  0.000  0.500  0.500
C  0.500  0.000  0.500
C  0.500  0.500  0.000
Se  0.250  0.250  0.250
Se  0.250  0.250  0.750
Se  0.250  0.750  0.250
Se  0.250  0.750  0.750
Se  0.750  0.250  0.250
Se  0.750  0.250  0.750
Se  0.750  0.750  0.250
Se  0.750  0.750  0.750
Cl  0.000  0.000  0.500
Cl  0.000  0.500  0.000
Cl  0.500  0.000  0.000
Cl  0.500  0.500  0.500



VASP calculation (PBE) on an optimized crystal structure of TmTh2Au3.

Crystal system = orthorhombic
Electronic total energy = -5.522 eV/atom
Space-group type = Pmmn, No. 59

abc: 5.140 16.196 3.543
angles: 90.00 90.00 90.00
Positions (direct):
Tm  0.250  0.250  0.003
Tm  0.750  0.750  0.997
Th  0.250  0.579  0.996
Th  0.250  0.921  0.996
Th  0.750  0.079  0.004
Th  0.750  0.421  0.004
Au  0.250  0.099  0.503
Au  0.250  0.401  0.503
Au  0.250  0.750  0.498
Au  0.750  0.250  0.502
Au  0.750  0.599  0.497
Au  0.750  0.901  0.497



VASP calculation (PBE) on an optimized crystal structure of BaHg2Ir.

Crystal system = orthorhombic
Electronic total energy = -2.558 eV/atom
Space-group type = Fmmm, No. 69

abc: 6.206 6.680 10.577
angles: 90.00 90.00 90.00
Positions (direct):
Ba  0.000  0.000  0.000
Ba  0.000  0.500  0.500
Ba  0.500  0.000  0.500
Ba  0.500  0.500  0.000
Hg  0.000  0.250  0.250
Hg  0.000  0.250  0.750
Hg  0.000  0.750  0.250
Hg  0.000  0.750  0.750
Hg  0.500  0.250  0.250
Hg  0.500  0.250  0.750
Hg  0.500  0.750  0.250
Hg  0.500  0.750  0.750
Ir  0.000  0.000  0.500
Ir  0.000  0.500  0.000
Ir  0.500  0.000  0.000
Ir  0.500  0.500  0.500



VASP calculation (PBE) on an optimized crystal structure of AsPbAu.

Crystal system = orthorhombic
Relative energy among the computed polymorphs = 0.1618 eV per atom
Space-group type = Immm, No. 71

abc: 3.276 5.630 15.852
angles: 90.00 90.00 90.00
Positions (direct):
As  0.000  0.000  0.143
As  0.000  0.000  0.857
As  0.500  0.500  0.357
As  0.500  0.500  0.643
Pb  0.000  0.000  0.347
Pb  0.000  0.000  0.653
Pb  0.500  0.500  0.153
Pb  0.500  0.500  0.847
Au  0.000  0.252  0.000
Au  0.000  0.748  0.000
Au  0.500  0.248  0.500
Au  0.500  0.752  0.500



VASP calculation (PBE) on an optimized crystal structure of NaGa3Au3.

Crystal system = cubic
Relative energy among the computed polymorphs = 0.1166 eV per atom
Space-group type = Pm-3n, No. 223

abc: 7.177 7.177 7.177
angles: 90.00 90.00 90.00
Positions (direct):
Na  0.000  0.000  0.000
Na  0.500  0.500  0.500
Ga  0.000  0.250  0.500
Ga  0.000  0.750  0.500
Ga  0.250  0.500  0.000
Ga  0.500  0.000  0.250
Ga  0.500  0.000  0.750
Ga  0.750  0.500  0.000
Au  0.000  0.500  0.250
Au  0.000  0.500  0.750
Au  0.250  0.000  0.500
Au  0.500  0.250  0.000
Au  0.500  0.750  0.000
Au  0.750  0.000  0.500



VASP calculation (PBE) on an optimized crystal structure of Sm4TlHg.

Crystal system = tetragonal
Relative energy among the computed polymorphs = 0.0830 eV per atom
Space-group type = P4/mmm, No. 123

abc: 5.204 5.204 7.518
angles: 90.00 90.00 90.00
Positions (direct):
Sm  0.000  0.500  0.243
Sm  0.000  0.500  0.757
Sm  0.500  0.000  0.243
Sm  0.500  0.000  0.757
Tl  0.000  0.000  0.500
Hg  0.500  0.500  0.000



VASP calculation (PBE) on an optimized crystal structure of KNpPb2S4.

Crystal system = tetragonal
Formation energy from raw total energies = -0.8559 eV/atom
Space-group type = I-4m2, No. 119

abc: 5.940 5.940 12.080
angles: 90.00 90.00 90.00
Positions (direct):
K  0.000  0.000  0.000
K  0.500  0.500  0.500
Np  0.000  0.500  0.750
Np  0.500  0.000  0.250
Pb  0.000  0.000  0.500
Pb  0.000  0.500  0.250
Pb  0.500  0.000  0.750
Pb  0.500  0.500  0.000
S  0.000  0.000  0.256
S  0.000  0.000  0.744
S  0.000  0.500  0.524
S  0.000  0.500  0.976
S  0.500  0.000  0.024
S  0.500  0.000  0.476
S  0.500  0.500  0.244
S  0.500  0.500  0.756



VASP calculation (PBE) on an optimized crystal structure of TbCd2Hg8.

Crystal system = monoclinic
Relative energy among the computed polymorphs = 0.0258 eV per atom
Space-group type = C2/m, No. 12

abc: 8.050 8.050 4.610
angles: 90.06 90.06 106.84
Positions (direct):
Tb  0.000  0.000  0.000
Cd  0.384  0.616  0.500
Cd  0.616  0.384  0.500
Hg  0.040  0.312  0.501
Hg  0.242  0.758  0.000
Hg  0.312  0.040  0.501
Hg  0.326  0.326  0.001
Hg  0.674  0.674  0.999
Hg  0.688  0.960  0.499
Hg  0.758  0.242  0.000
Hg  0.960  0.688  0.499